A plane-wave DFT calculation with PBE was carried out for a relaxed LiFeSi2S crystal.

Electronic total energy (eV/atom): -4.420
Formation energy without anion corrections (kJ per mole of atoms): 62.7
D(E_F) (states/eV per cell): 6.3
Calculated volume (A^3/atom): 17.428

a = 4.6118 Å, b = 4.0970 Å, c = 4.6118 Å
α = 90.00°, β = 90.00°, γ = 90.00°
Fractional positions:
S 0.0000 0.0000 0.0000
Si 0.0000 0.0000 0.5000
Si 0.5000 0.0000 0.0000
Fe 0.5000 0.5000 0.5000
Li 0.0000 0.5000 0.0000

A plane-wave DFT calculation with PBE was carried out for a relaxed Li2FeSnS4 crystal.

Electronic total energy (eV/atom): -4.848
Formation energy without anion corrections (kJ per mole of atoms): -72.2
D(E_F) (states/eV per cell): 4.1
Calculated volume (A^3/atom): 21.958

a = 6.8234 Å, b = 6.4397 Å, c = 10.2667 Å
α = 51.15°, β = 90.00°, γ = 90.00°
Fractional positions:
Li 0.6629 0.6993 0.4290
Li 0.3371 0.6993 0.9290
Li 0.8393 0.9504 0.6781
Li 0.1607 0.9504 0.1781
Fe 0.8297 0.4466 0.1815
Fe 0.1703 0.4466 0.6815
Sn 0.6712 0.1980 0.9273
Sn 0.3288 0.1980 0.4273
S 0.6831 0.8010 0.9410
S 0.3169 0.8010 0.4410
S 0.1502 0.5657 0.1772
S 0.8498 0.5657 0.6772
S 0.6721 0.3273 0.4172
S 0.3279 0.3273 0.9172
S 0.8261 0.0914 0.1785
S 0.1739 0.0914 0.6785

A plane-wave DFT calculation with PBE was carried out for a relaxed Li4Ti3FeS8 crystal.

Electronic total energy (eV/atom): -5.767
Formation energy without anion corrections (kJ per mole of atoms): -117.2
D(E_F) (states/eV per cell): 6.7
Calculated volume (A^3/atom): 15.612

a = 6.8632 Å, b = 7.2944 Å, c = 6.8634 Å
α = 118.08°, β = 120.00°, γ = 90.00°
Fractional positions:
Li 0.5000 0.0000 0.0000
Li 0.5000 0.0000 0.5000
Li 0.0000 0.0000 0.0000
Li 0.0000 0.0000 0.5000
Ti 0.5000 0.5000 0.0000
Ti 0.5000 0.5000 0.5000
Ti 0.0000 0.5000 0.5000
Fe 0.0000 0.5000 0.0000
S 0.2370 0.7295 0.9926
S 0.2370 0.7295 0.4741
S 0.2545 0.2634 0.5089
S 0.7555 0.7295 0.9926
S 0.2445 0.2705 0.0074
S 0.7455 0.7366 0.4911
S 0.7630 0.2705 0.5259
S 0.7630 0.2705 0.0074

- Which formula does entry 3 have?
  Li4Ti3FeS8

- What is the formation energy without anion corrections in the third record?
  -117.2 kJ per mole of atoms

- formation energy without anion corrections of number 2 (Li2FeSnS4)?
  -72.2 kJ per mole of atoms